(1)
A relaxed structure of Tb2Nd4Er5, computed with PBE-GGA.

Geometry as extended XYZ:
```
11
Lattice="-0.076 -0.782 -5.607 -6.536 -1.050 0.235 -1.364 9.778 1.513" Properties=species:S:1:pos:R:3 pbc="T T T"
Tb -4.034 7.071 -0.932
Tb -3.942 0.874 -2.927
Nd -6.903 4.766 -0.571
Nd -6.050 7.848 -3.871
Nd -1.073 3.179 -3.287
Nd -1.926 0.098 0.012
Er -4.766 4.440 -3.413
Er -3.209 3.505 -0.446
Er -1.801 6.429 -3.731
Er -0.038 -0.391 -2.803
Er -6.175 1.516 -0.128
```

Output
energy relative to the lowest polymorph listed for this composition: 0 kJ/mol of formula units
space group: No. 12
crystal system: monoclinic

***

(2)
A relaxed structure of Tb8Nd2Er, computed with PBE-GGA.

Geometry as extended XYZ:
```
11
Lattice="6.306 1.802 1.367 2.143 9.521 3.026 2.143 5.478 8.355" Properties=species:S:1:pos:R:3 pbc="T T T"
Tb 3.958 8.265 8.265
Tb 6.633 6.616 7.014
Tb 4.380 11.669 8.854
Tb 6.211 5.132 3.894
Tb 3.958 10.185 5.735
Tb 6.633 8.536 4.483
Tb 7.132 10.142 7.695
Tb 3.459 6.659 5.053
Nd 7.207 13.108 9.945
Nd 3.384 3.694 2.803
Er 0.000 0.000 0.000
```

Output
energy relative to the lowest polymorph listed for this composition: 149 kJ/mol of formula units
space group: No. 12
crystal system: monoclinic

***

(3)
A relaxed structure of Tb2NdEr, computed with PBE-GGA.

Geometry as extended XYZ:
```
4
Lattice="-0.965 -2.794 2.014 2.478 -2.288 1.189 1.859 4.770 10.686" Properties=species:S:1:pos:R:3 pbc="T T T"
Nd 1.686 -0.156 6.944
Tb 2.536 -0.201 10.465
Tb 0.836 -0.111 3.423
Er 0.000 0.000 0.000
```

Output
energy relative to the lowest polymorph listed for this composition: 5 kJ/mol of formula units
space group: No. 166
crystal system: trigonal

***

(4)
A relaxed structure of Tb12Nd6Er, computed with PBE-GGA.

Geometry as extended XYZ:
```
19
Lattice="9.443 -1.932 -2.749 -3.065 9.138 -2.749 -1.710 -1.932 9.685" Properties=species:S:1:pos:R:3 pbc="T T T"
Tb 7.106 -1.586 2.094
Tb -0.990 7.397 -0.888
Tb -0.074 -0.084 7.515
Tb -2.794 5.359 5.076
Tb 4.743 5.359 -3.327
Tb 5.659 -2.122 5.076
Tb 1.817 6.861 -2.650
Tb -1.920 2.638 6.837
Tb -2.437 6.861 2.094
Tb 2.851 -1.586 6.837
Tb 6.589 2.638 -2.650
Tb 7.463 -0.084 -0.888
Nd 4.132 0.802 3.706
Nd 3.716 4.199 -0.109
Nd 0.294 4.199 3.706
Nd 0.953 1.076 4.296
Nd 0.537 4.473 0.482
Nd 4.374 1.076 0.482
Er 0.000 0.000 0.000
```

Output
energy relative to the lowest polymorph listed for this composition: 386 kJ/mol of formula units
space group: No. 166
crystal system: trigonal

***

Number 1: DFT total energy -0.1670 hartree per atom. Number 2: DFT total energy -0.1651 hartree per atom. Number 3: DFT total energy -0.1701 hartree per atom. Number 4: DFT total energy -0.1593 hartree per atom.